Material: AgSe
Method: DFT, GGA-PBE
State: relaxed

Its total energy is -3.130 eV/atom. As for the volume: 21.2 Å³ per atom.

The space group is P6_3/mmc (No. 194) and the conventional cell measures 4.0981, 4.0981 and 5.8256 Å, with angles of 90.00, 90.00 and 120.00 degrees. The distinct sites, in fractional coordinates, are Ag at (0.0000, 0.0000, 0.0000) and Se at (0.3333, 0.6667, 0.2500).